## HgPtPb2 (PBEsol)

Data for a geometry-optimized HgPtPb2 structure.

DOS at the Fermi energy in states/eV/cell: 1.91
Energy of formation in meV/atom: 11

```
data_HgPtPb2
_space_group_name_H-M_alt 'P 1'
_space_group_IT_number 1
_cell_length_a 3.3914
_cell_length_b 3.3914
_cell_length_c 8.0812
_cell_angle_alpha 90.00
_cell_angle_beta 90.00
_cell_angle_gamma 90.00
loop_
_space_group_symop_operation_xyz
'x,y,z'
loop_
_atom_site_label
_atom_site_type_symbol
_atom_site_fract_x
_atom_site_fract_y
_atom_site_fract_z
Pb1 Pb 0.5000 0.5000 0.3078
Pb2 Pb 0.0000 0.0000 0.9717
Hg1 Hg 0.5000 0.5000 0.7067
Pt1 Pt 0.0000 0.0000 0.5138
```

## HgPtPb2 (PBEsol)

Data for a geometry-optimized HgPtPb2 structure.

DOS at the Fermi energy in states/eV/cell: 1.56
Energy of formation in meV/atom: -72

```
data_HgPtPb2
_space_group_name_H-M_alt 'P 1'
_space_group_IT_number 1
_cell_length_a 3.3585
_cell_length_b 3.3628
_cell_length_c 8.5419
_cell_angle_alpha 89.95
_cell_angle_beta 90.00
_cell_angle_gamma 90.00
loop_
_space_group_symop_operation_xyz
'x,y,z'
loop_
_atom_site_label
_atom_site_type_symbol
_atom_site_fract_x
_atom_site_fract_y
_atom_site_fract_z
Pb1 Pb 0.0000 0.0003 0.2981
Pb2 Pb 0.0000 0.9997 0.7019
Hg1 Hg 0.5000 0.5000 0.0000
Pt1 Pt 0.5000 0.5000 0.5000
```

## HgPt2Pb (PBEsol)

Data for a geometry-optimized HgPt2Pb structure.

DOS at the Fermi energy in states/eV/cell: 1.18
Energy of formation in meV/atom: 62

```
data_HgPt2Pb
_space_group_name_H-M_alt 'P 1'
_space_group_IT_number 1
_cell_length_a 3.9299
_cell_length_b 4.0138
_cell_length_c 5.5032
_cell_angle_alpha 111.39
_cell_angle_beta 110.92
_cell_angle_gamma 90.00
loop_
_space_group_symop_operation_xyz
'x,y,z'
loop_
_atom_site_label
_atom_site_type_symbol
_atom_site_fract_x
_atom_site_fract_y
_atom_site_fract_z
Pb1 Pb 0.2632 0.7632 0.5263
Hg1 Hg 0.5105 0.5105 0.0211
Pt1 Pt 0.9887 0.9887 0.9774
Pt2 Pt 0.7376 0.2376 0.4753
```

## HgPtPb2 (PBEsol)

Data for a geometry-optimized HgPtPb2 structure.

DOS at the Fermi energy in states/eV/cell: 1.66
Energy of formation in meV/atom: -62

```
data_HgPtPb2
_space_group_name_H-M_alt 'P 1'
_space_group_IT_number 1
_cell_length_a 3.8675
_cell_length_b 3.8675
_cell_length_c 8.1923
_cell_angle_alpha 76.35
_cell_angle_beta 76.35
_cell_angle_gamma 60.00
loop_
_space_group_symop_operation_xyz
'x,y,z'
loop_
_atom_site_label
_atom_site_type_symbol
_atom_site_fract_x
_atom_site_fract_y
_atom_site_fract_z
Hg1 Hg 0.0000 0.0000 0.0000
Pt1 Pt 0.5000 0.5000 0.5000
Pb1 Pb 0.7638 0.7638 0.7086
Pb2 Pb 0.2362 0.2362 0.2914
```

## SnHg2PtPb (PBEsol)

Data for a geometry-optimized SnHg2PtPb structure.

DOS at the Fermi energy in states/eV/cell: 2.47
Energy of formation in meV/atom: 1143

```
data_SnHg2PtPb
_space_group_name_H-M_alt 'P 1'
_space_group_IT_number 1
_cell_length_a 5.3091
_cell_length_b 5.3091
_cell_length_c 5.8128
_cell_angle_alpha 90.00
_cell_angle_beta 90.00
_cell_angle_gamma 90.00
loop_
_space_group_symop_operation_xyz
'x,y,z'
loop_
_atom_site_label
_atom_site_type_symbol
_atom_site_fract_x
_atom_site_fract_y
_atom_site_fract_z
Pb1 Pb 0.0000 0.0000 0.0000
Sn1 Sn 0.0000 0.0000 0.5000
Pt1 Pt 0.5000 0.5000 0.5000
Hg1 Hg 0.0000 0.5000 0.0000
Hg2 Hg 0.5000 0.0000 0.0000
```

## Rb2Hg2Pb (PBEsol)

Data for a geometry-optimized Rb2Hg2Pb structure.

DOS at the Fermi energy in states/eV/cell: 4.42
Energy of formation in meV/atom: -145

```
data_Rb2Hg2Pb
_space_group_name_H-M_alt 'P 1'
_space_group_IT_number 1
_cell_length_a 5.7313
_cell_length_b 7.8801
_cell_length_c 7.8801
_cell_angle_alpha 90.00
_cell_angle_beta 90.00
_cell_angle_gamma 90.00
loop_
_space_group_symop_operation_xyz
'x,y,z'
loop_
_atom_site_label
_atom_site_type_symbol
_atom_site_fract_x
_atom_site_fract_y
_atom_site_fract_z
Rb1 Rb 0.5000 0.3237 0.1763
Rb2 Rb 0.5000 0.8237 0.3237
Rb3 Rb 0.5000 0.1763 0.6763
Rb4 Rb 0.5000 0.6763 0.8237
Hg1 Hg 0.0000 0.6351 0.1351
Hg2 Hg 0.0000 0.1351 0.3649
Hg3 Hg 0.0000 0.8649 0.6351
Hg4 Hg 0.0000 0.3649 0.8649
Pb1 Pb 0.0000 0.5000 0.5000
Pb2 Pb 0.0000 0.0000 0.0000
```

## RbHg2Pb2 (PBEsol)

Data for a geometry-optimized RbHg2Pb2 structure.

DOS at the Fermi energy in states/eV/cell: 2.25
Energy of formation in meV/atom: -99
E above lowest polymorph in kJ/mol of formula units: 0.0

```
data_RbHg2Pb2
_space_group_name_H-M_alt 'P 1'
_space_group_IT_number 1
_cell_length_a 5.1963
_cell_length_b 5.1963
_cell_length_c 7.0143
_cell_angle_alpha 111.74
_cell_angle_beta 111.74
_cell_angle_gamma 90.00
loop_
_space_group_symop_operation_xyz
'x,y,z'
loop_
_atom_site_label
_atom_site_type_symbol
_atom_site_fract_x
_atom_site_fract_y
_atom_site_fract_z
Hg1 Hg 0.7500 0.2500 0.5000
Hg2 Hg 0.2500 0.7500 0.5000
Rb1 Rb 0.0000 0.0000 0.0000
Pb1 Pb 0.6264 0.6264 0.2527
Pb2 Pb 0.3736 0.3736 0.7473
```

## RbHg2Pb2 (PBEsol)

Data for a geometry-optimized RbHg2Pb2 structure.

DOS at the Fermi energy in states/eV/cell: 4.21
Energy of formation in meV/atom: -80
E above lowest polymorph in kJ/mol of formula units: 9.3

```
data_RbHg2Pb2
_space_group_name_H-M_alt 'P 1'
_space_group_IT_number 1
_cell_length_a 3.5084
_cell_length_b 9.1998
_cell_length_c 9.1998
_cell_angle_alpha 90.00
_cell_angle_beta 90.00
_cell_angle_gamma 90.00
loop_
_space_group_symop_operation_xyz
'x,y,z'
loop_
_atom_site_label
_atom_site_type_symbol
_atom_site_fract_x
_atom_site_fract_y
_atom_site_fract_z
Pb1 Pb 0.0000 0.6283 0.1283
Pb2 Pb 0.0000 0.3717 0.8717
Pb3 Pb 0.0000 0.8717 0.6283
Pb4 Pb 0.0000 0.1283 0.3717
Hg1 Hg 0.5000 0.6657 0.8343
Hg2 Hg 0.5000 0.1657 0.6657
Hg3 Hg 0.5000 0.8343 0.3343
Hg4 Hg 0.5000 0.3343 0.1657
Rb1 Rb 0.0000 0.0000 0.0000
Rb2 Rb 0.0000 0.5000 0.5000
```

## Re2HgPb (PBEsol)

Data for a geometry-optimized Re2HgPb structure.

DOS at the Fermi energy in states/eV/cell: 2.92
Energy of formation in meV/atom: 902
E above lowest polymorph in kJ/mol of formula units: 0.0

```
data_Re2HgPb
_space_group_name_H-M_alt 'P 1'
_space_group_IT_number 1
_cell_length_a 2.8655
_cell_length_b 4.7398
_cell_length_c 6.4152
_cell_angle_alpha 111.68
_cell_angle_beta 102.91
_cell_angle_gamma 90.00
loop_
_space_group_symop_operation_xyz
'x,y,z'
loop_
_atom_site_label
_atom_site_type_symbol
_atom_site_fract_x
_atom_site_fract_y
_atom_site_fract_z
Hg1 Hg 0.4950 0.4950 0.9900
Re1 Re 0.0197 0.0197 0.0393
Re2 Re 0.6978 0.1978 0.3956
Pb1 Pb 0.2875 0.7875 0.5751
```

## Re2HgPb (PBEsol)

Data for a geometry-optimized Re2HgPb structure.

DOS at the Fermi energy in states/eV/cell: 5.22
Energy of formation in meV/atom: 1357
E above lowest polymorph in kJ/mol of formula units: 175.6

```
data_Re2HgPb
_space_group_name_H-M_alt 'P 1'
_space_group_IT_number 1
_cell_length_a 2.8957
_cell_length_b 2.8957
_cell_length_c 8.5751
_cell_angle_alpha 90.00
_cell_angle_beta 90.00
_cell_angle_gamma 90.00
loop_
_space_group_symop_operation_xyz
'x,y,z'
loop_
_atom_site_label
_atom_site_type_symbol
_atom_site_fract_x
_atom_site_fract_y
_atom_site_fract_z
Pb1 Pb 0.5000 0.5000 0.5000
Re1 Re 0.0000 0.0000 0.7578
Re2 Re 0.0000 0.0000 0.2422
Hg1 Hg 0.5000 0.5000 0.0000
```

## ReHgPb2 (PBEsol)

Data for a geometry-optimized ReHgPb2 structure.

DOS at the Fermi energy in states/eV/cell: 3.65
Energy of formation in meV/atom: 1069

```
data_ReHgPb2
_space_group_name_H-M_alt 'P 1'
_space_group_IT_number 1
_cell_length_a 5.0030
_cell_length_b 5.0030
_cell_length_c 5.0030
_cell_angle_alpha 60.00
_cell_angle_beta 60.00
_cell_angle_gamma 60.00
loop_
_space_group_symop_operation_xyz
'x,y,z'
loop_
_atom_site_label
_atom_site_type_symbol
_atom_site_fract_x
_atom_site_fract_y
_atom_site_fract_z
Pb1 Pb 0.7500 0.7500 0.7500
Pb2 Pb 0.0000 0.0000 0.0000
Hg1 Hg 0.5000 0.5000 0.5000
Re1 Re 0.2500 0.2500 0.2500
```

## Hg2RhPb (PBEsol)

Data for a geometry-optimized Hg2RhPb structure.

DOS at the Fermi energy in states/eV/cell: 1.79
Energy of formation in meV/atom: 35

```
data_Hg2RhPb
_space_group_name_H-M_alt 'P 1'
_space_group_IT_number 1
_cell_length_a 3.0816
_cell_length_b 4.5564
_cell_length_c 6.9505
_cell_angle_alpha 109.13
_cell_angle_beta 102.81
_cell_angle_gamma 90.00
loop_
_space_group_symop_operation_xyz
'x,y,z'
loop_
_atom_site_label
_atom_site_type_symbol
_atom_site_fract_x
_atom_site_fract_y
_atom_site_fract_z
Pb1 Pb 0.4335 0.9335 0.8671
Rh1 Rh 0.7517 0.7517 0.5034
Hg1 Hg 0.0701 0.5701 0.1403
Hg2 Hg 0.2446 0.2446 0.4892
```

## HgRhPb (PBEsol)

Data for a geometry-optimized HgRhPb structure.

DOS at the Fermi energy in states/eV/cell: 1.41
Energy of formation in meV/atom: 97
E above lowest polymorph in kJ/mol of formula units: 4.6

```
data_HgRhPb
_space_group_name_H-M_alt 'P 1'
_space_group_IT_number 1
_cell_length_a 3.2002
_cell_length_b 3.2002
_cell_length_c 6.4239
_cell_angle_alpha 104.42
_cell_angle_beta 104.42
_cell_angle_gamma 90.00
loop_
_space_group_symop_operation_xyz
'x,y,z'
loop_
_atom_site_label
_atom_site_type_symbol
_atom_site_fract_x
_atom_site_fract_y
_atom_site_fract_z
Rh1 Rh 0.3341 0.3341 0.6682
Pb1 Pb 0.6913 0.6913 0.3826
Hg1 Hg 0.9746 0.9746 0.9492
```

## HgRhPb (PBEsol)

Data for a geometry-optimized HgRhPb structure.

DOS at the Fermi energy in states/eV/cell: 2.14
Energy of formation in meV/atom: 81
E above lowest polymorph in kJ/mol of formula units: 0.0

```
data_HgRhPb
_space_group_name_H-M_alt 'P 1'
_space_group_IT_number 1
_cell_length_a 4.5302
_cell_length_b 4.5302
_cell_length_c 4.5302
_cell_angle_alpha 60.00
_cell_angle_beta 60.00
_cell_angle_gamma 60.00
loop_
_space_group_symop_operation_xyz
'x,y,z'
loop_
_atom_site_label
_atom_site_type_symbol
_atom_site_fract_x
_atom_site_fract_y
_atom_site_fract_z
Pb1 Pb 0.5000 0.5000 0.5000
Rh1 Rh 0.7500 0.7500 0.7500
Hg1 Hg 0.0000 0.0000 0.0000
```

## HgRhPb (PBEsol)

Data for a geometry-optimized HgRhPb structure.

DOS at the Fermi energy in states/eV/cell: 2.33
Energy of formation in meV/atom: 187
E above lowest polymorph in kJ/mol of formula units: 30.7

```
data_HgRhPb
_space_group_name_H-M_alt 'P 1'
_space_group_IT_number 1
_cell_length_a 3.2792
_cell_length_b 3.2792
_cell_length_c 6.7099
_cell_angle_alpha 90.00
_cell_angle_beta 90.00
_cell_angle_gamma 120.00
loop_
_space_group_symop_operation_xyz
'x,y,z'
loop_
_atom_site_label
_atom_site_type_symbol
_atom_site_fract_x
_atom_site_fract_y
_atom_site_fract_z
Rh1 Rh 0.6667 0.3333 0.3367
Hg1 Hg 0.0000 0.0000 0.0328
Pb1 Pb 0.3333 0.6667 0.6306
```